No. 1
DFT (PBE-GGA) results for an optimized crystal structure of ZnRhIN2.

abc: 3.8813 3.8813 6.3259
angles: 90.00 90.00 90.00
With the nearest neighbours (Å) after each atom.
Space group P4/mmm (No. 123)
One atom of each set of equivalent atoms:
Zn 0.0000 0.0000 0.0000 x1  4 N 1.94
Rh 0.5000 0.5000 0.5000 x1  4 I 2.74
I 0.0000 0.0000 0.5000 x1  4 Rh 2.74
N 0.0000 0.5000 0.0000 x2  2 Zn 1.94

Results
Formation energy (no corrections): 1.669 eV/atom

No. 2
DFT (PBE-GGA) results for an optimized crystal structure of AlCu2P.

abc: 3.7439 3.7439 16.4056
angles: 90.00 90.00 90.00
With the nearest neighbours (Å) after each atom.
Space group I-42d (No. 122)
One atom of each set of equivalent atoms:
Al 0.0000 0.0000 0.0000 x4  4 Cu 2.46, 4 P 2.65
Cu 0.2393 0.2500 0.6250 x8  2 P 2.43, 2 Al 2.46, 4 Cu 2.59-2.70
P 0.0000 0.0000 0.5000 x4  4 Cu 2.43, 4 Al 2.65

Results
ΔH_f (0 K): 0.058 eV/f.u.

No. 3
DFT (PBE-GGA) results for an optimized crystal structure of CrPICl2.

abc: 4.4935 4.4935 5.1534
angles: 90.00 90.00 90.00
With the nearest neighbours (Å) after each atom.
Space group P4/mmm (No. 123)
One atom of each set of equivalent atoms:
Cr 0.0000 0.0000 0.0000 x1  4 Cl 2.25
P 0.0000 0.0000 0.5000 x1  2 Cr 2.58
I 0.5000 0.5000 0.5000 x1  4 P 3.18, 8 Cl 3.42
Cl 0.0000 0.5000 0.0000 x2  2 Cr 2.25

Results
Formation energy (no corrections): 0.107 eV/atom

No. 4
DFT (PBE-GGA) results for an optimized crystal structure of Cs2TlF.

abc: 3.8282 3.8282 10.0019
angles: 90.00 90.00 90.00
With the nearest neighbours (Å) after each atom.
Space group P4/mmm (No. 123)
One atom of each set of equivalent atoms:
Cs 0.0000 0.0000 0.1822 x2  4 F 3.26, 1 Cs 3.64
Tl 0.5000 0.5000 0.5000 x1  4 Tl 3.83, 8 Cs 4.18
F 0.5000 0.5000 0.0000 x1  8 Cs 3.26

Results
Formation energy (no corrections): -1.171 eV/atom

No. 5
DFT (PBE-GGA) results for an optimized crystal structure of SiTeCl2.

abc: 3.5169 3.5169 35.3069
angles: 90.00 90.00 120.00
With the nearest neighbours (Å) after each atom.
Space group R-3m (No. 166, hexagonal axes)
One atom of each set of equivalent atoms:
Si 0.0000 0.0000 0.0000 x3  6 Cl 2.59
Te 0.0000 0.0000 0.5000 x3  6 Te 3.52
Cl 0.0000 0.0000 0.2876 x6  3 Si 2.59

Results
Formation energy (no corrections): -0.102 eV/atom

No. 6
DFT (PBE-GGA) results for an optimized crystal structure of Li2TlAu2.

abc: 12.0230 4.3182 8.3491
angles: 90.00 113.48 90.00
With the nearest neighbours (Å) after each atom.
Space group C2/m (No. 12)
One atom of each set of equivalent atoms:
Li 0.0112 0.0000 0.3367 x4  6 Au 2.83-3.02, 1 Li 2.85
Li 0.1934 0.0000 0.0568 x4  4 Au 2.66-2.80, 2 Li 2.91
Tl 0.2024 0.5000 0.3101 x4  5 Au 2.90-3.15, 4 Li 2.99-3.23
Au 0.0674 0.5000 0.9006 x4  5 Li 2.66-2.83, 2 Au 2.74-2.78
Au 0.1225 0.5000 0.6067 x4  2 Au 2.77-2.78, 5 Li 2.80-3.02, 3 Tl 2.90-2.99

Results
ΔH_f (0 K): -1.618 eV/f.u.

No. 7
DFT (PBE-GGA) results for an optimized crystal structure of YAg2Mo.

abc: 2.9739 2.9739 8.8620
angles: 90.00 90.00 90.00
With the nearest neighbours (Å) after each atom.
Space group P4mm (No. 99)
One atom of each set of equivalent atoms:
Y 0.0000 0.0000 0.0000 x1  4 Y 2.97, 4 Mo 3.13, 4 Ag 3.22
Ag 0.0000 0.0000 0.5105 x1  4 Mo 2.92, 8 Ag 2.96-2.97
Ag 0.5000 0.5000 0.2751 x1  8 Ag 2.96-2.97, 4 Y 3.22
Mo 0.5000 0.5000 0.7390 x1  4 Ag 2.92, 4 Mo 2.97, 4 Y 3.13

Results
ΔH_f (0 K): 1.173 eV/f.u.

No. 8
DFT (PBE-GGA) results for an optimized crystal structure of CrIn2W2.

abc: 3.6996 3.6996 14.2362
angles: 90.00 90.00 90.00
With the nearest neighbours (Å) after each atom.
Space group I4/mmm (No. 139)
One atom of each set of equivalent atoms:
Cr 0.0000 0.0000 0.0000 x2  8 W 2.88
In 0.0000 0.5000 0.2500 x4  4 In 2.62
W 0.0000 0.0000 0.4158 x4  1 W 2.40

Results
ΔH_f (0 K): 6.369 eV/f.u.

Going through the records in order, we get total moment values of 3.9, 0.0, 0.0, 0.7, 1.2, 0.0, 0.0, 0.0 μB/cell.